<P>
Below is As2Cl2F after structural relaxation, with properties calculated at the PBE level.

Geometry as CIF:
```
data_As2Cl2F
_symmetry_space_group_name_H-M 'P 4/m b m'
_symmetry_Int_Tables_number 127
_symmetry_space_group_name_Hall '-P 4 2ab'
_cell_length_a 6.468
_cell_length_b 6.468
_cell_length_c 4.406
_cell_angle_alpha 90.00
_cell_angle_beta 90.00
_cell_angle_gamma 90.00
loop_
_atom_site_label
_atom_site_fract_x
_atom_site_fract_y
_atom_site_fract_z
As1 0.140 0.360 0.000
Cl1 0.177 0.677 0.500
F1 0.000 0.000 0.000
```

Computed properties:
- Crystal system: tetragonal


<Q>
Below is As2Cl2F after structural relaxation, with properties calculated at the PBE level.

Geometry as CIF:
```
data_As2Cl2F
_symmetry_space_group_name_H-M 'I 4/m m m'
_symmetry_Int_Tables_number 139
_symmetry_space_group_name_Hall '-I 4 2'
_cell_length_a 5.409
_cell_length_b 5.409
_cell_length_c 6.950
_cell_angle_alpha 90.00
_cell_angle_beta 90.00
_cell_angle_gamma 90.00
loop_
_atom_site_label
_atom_site_fract_x
_atom_site_fract_y
_atom_site_fract_z
As1 0.000 0.000 0.185
Cl1 0.000 0.500 0.250
F1 0.000 0.000 0.500
```

Computed properties:
- Crystal system: tetragonal


Relative energies, in eV/atom, with the most stable structure set to zero: <P> 0.097; <Q> 0.000.


<P>
Below is AsClF2 after structural relaxation, with properties calculated at the PBE level.

Geometry as CIF:
```
data_AsClF2
_symmetry_space_group_name_H-M 'F m -3 m'
_symmetry_Int_Tables_number 225
_symmetry_space_group_name_Hall '-F 4 2 3'
_cell_length_a 5.952
_cell_length_b 5.952
_cell_length_c 5.952
_cell_angle_alpha 90.00
_cell_angle_beta 90.00
_cell_angle_gamma 90.00
loop_
_atom_site_label
_atom_site_fract_x
_atom_site_fract_y
_atom_site_fract_z
As1 0.000 0.000 0.000
Cl1 0.000 0.000 0.500
F1 0.250 0.250 0.250
```

Computed properties:
- Crystal system: cubic


<Q>
Below is AsClF2 after structural relaxation, with properties calculated at the PBE level.

Geometry as CIF:
```
data_AsClF2
_symmetry_space_group_name_H-M 'P 1'
_symmetry_Int_Tables_number 1
_symmetry_space_group_name_Hall 'P 1'
_cell_length_a 4.356
_cell_length_b 4.575
_cell_length_c 5.865
_cell_angle_alpha 96.18
_cell_angle_beta 109.66
_cell_angle_gamma 97.67
loop_
_atom_site_label
_atom_site_fract_x
_atom_site_fract_y
_atom_site_fract_z
As1 0.000 0.000 0.000
Cl1 0.137 0.944 0.671
F1 0.411 0.052 0.216
F2 0.995 0.393 0.016
```

Computed properties:
- Crystal system: triclinic


Relative energies, in eV/atom, with the most stable structure set to zero: <P> 1.124; <Q> 0.000.


<P>
Below is As2ClF after structural relaxation, with properties calculated at the PBE level.

Geometry as CIF:
```
data_As2ClF
_symmetry_space_group_name_H-M 'I -4 2 d'
_symmetry_Int_Tables_number 122
_symmetry_space_group_name_Hall 'I -4 2bw'
_cell_length_a 4.164
_cell_length_b 4.164
_cell_length_c 17.169
_cell_angle_alpha 90.00
_cell_angle_beta 90.00
_cell_angle_gamma 90.00
loop_
_atom_site_label
_atom_site_fract_x
_atom_site_fract_y
_atom_site_fract_z
As1 0.191 0.250 0.125
Cl1 0.000 0.000 0.500
F1 0.000 0.000 0.000
```

Computed properties:
- Crystal system: tetragonal


<Q>
Below is As2ClF after structural relaxation, with properties calculated at the PBE level.

Geometry as CIF:
```
data_As2ClF
_symmetry_space_group_name_H-M 'F m -3 m'
_symmetry_Int_Tables_number 225
_symmetry_space_group_name_Hall '-F 4 2 3'
_cell_length_a 6.488
_cell_length_b 6.488
_cell_length_c 6.488
_cell_angle_alpha 90.00
_cell_angle_beta 90.00
_cell_angle_gamma 90.00
loop_
_atom_site_label
_atom_site_fract_x
_atom_site_fract_y
_atom_site_fract_z
As1 0.250 0.250 0.250
Cl1 0.000 0.000 0.000
F1 0.000 0.000 0.500
```

Computed properties:
- Crystal system: cubic


Relative energies, in eV/atom, with the most stable structure set to zero: <P> 0.000; <Q> 0.581.


<P>
Below is AsP2ClF after structural relaxation, with properties calculated at the PBE level.

Geometry as CIF:
```
data_AsP2ClF
_symmetry_space_group_name_H-M 'P 4/m m m'
_symmetry_Int_Tables_number 123
_symmetry_space_group_name_Hall '-P 4 2'
_cell_length_a 4.122
_cell_length_b 4.122
_cell_length_c 5.416
_cell_angle_alpha 90.00
_cell_angle_beta 90.00
_cell_angle_gamma 90.00
loop_
_atom_site_label
_atom_site_fract_x
_atom_site_fract_y
_atom_site_fract_z
As1 0.000 0.000 0.000
P1 0.000 0.500 0.500
Cl1 0.500 0.500 0.000
F1 0.500 0.500 0.500
```

Computed properties:
- Crystal system: tetragonal


<Q>
Below is AsP2ClF after structural relaxation, with properties calculated at the PBE level.

Geometry as CIF:
```
data_AsP2ClF
_symmetry_space_group_name_H-M 'P 4/m m m'
_symmetry_Int_Tables_number 123
_symmetry_space_group_name_Hall '-P 4 2'
_cell_length_a 4.830
_cell_length_b 4.830
_cell_length_c 4.878
_cell_angle_alpha 90.00
_cell_angle_beta 90.00
_cell_angle_gamma 90.00
loop_
_atom_site_label
_atom_site_fract_x
_atom_site_fract_y
_atom_site_fract_z
As1 0.000 0.000 0.000
P1 0.000 0.500 0.000
Cl1 0.000 0.000 0.500
F1 0.500 0.500 0.500
```

Computed properties:
- Crystal system: tetragonal


Relative energies, in eV/atom, with the most stable structure set to zero: <P> 0.023; <Q> 0.000.


<P>
Below is Rb2AsClF6 after structural relaxation, with properties calculated at the PBE level.

Geometry as CIF:
```
data_Rb2AsClF6
_symmetry_space_group_name_H-M 'P -1'
_symmetry_Int_Tables_number 2
_symmetry_space_group_name_Hall '-P 1'
_cell_length_a 5.370
_cell_length_b 5.829
_cell_length_c 8.012
_cell_angle_alpha 110.96
_cell_angle_beta 90.21
_cell_angle_gamma 116.87
loop_
_atom_site_label
_atom_site_fract_x
_atom_site_fract_y
_atom_site_fract_z
Rb1 0.214 0.425 0.188
As1 0.000 0.000 0.500
Cl1 0.500 0.000 0.000
F1 0.108 0.224 0.738
F2 0.130 0.791 0.539
F3 0.336 0.213 0.464
```

Computed properties:
- Crystal system: triclinic


<Q>
Below is Rb2AsClF6 after structural relaxation, with properties calculated at the PBE level.

Geometry as CIF:
```
data_Rb2AsClF6
_symmetry_space_group_name_H-M 'F m -3 m'
_symmetry_Int_Tables_number 225
_symmetry_space_group_name_Hall '-F 4 2 3'
_cell_length_a 9.523
_cell_length_b 9.523
_cell_length_c 9.523
_cell_angle_alpha 90.00
_cell_angle_beta 90.00
_cell_angle_gamma 90.00
loop_
_atom_site_label
_atom_site_fract_x
_atom_site_fract_y
_atom_site_fract_z
Rb1 0.250 0.250 0.250
As1 0.000 0.000 0.000
Cl1 0.000 0.000 0.500
F1 0.000 0.000 0.188
```

Computed properties:
- Crystal system: cubic


Relative energies, in eV/atom, with the most stable structure set to zero: <P> 0.000; <Q> 0.096.


<P>
Below is AsSCl2F after structural relaxation, with properties calculated at the PBE level.

Geometry as CIF:
```
data_AsSCl2F
_symmetry_space_group_name_H-M 'P 4/m m m'
_symmetry_Int_Tables_number 123
_symmetry_space_group_name_Hall '-P 4 2'
_cell_length_a 4.823
_cell_length_b 4.823
_cell_length_c 5.033
_cell_angle_alpha 90.00
_cell_angle_beta 90.00
_cell_angle_gamma 90.00
loop_
_atom_site_label
_atom_site_fract_x
_atom_site_fract_y
_atom_site_fract_z
As1 0.000 0.000 0.000
S1 0.000 0.000 0.500
Cl1 0.000 0.500 0.000
F1 0.500 0.500 0.500
```

Computed properties:
- Crystal system: tetragonal


<Q>
Below is AsSCl2F after structural relaxation, with properties calculated at the PBE level.

Geometry as CIF:
```
data_AsSCl2F
_symmetry_space_group_name_H-M 'P 4/m m m'
_symmetry_Int_Tables_number 123
_symmetry_space_group_name_Hall '-P 4 2'
_cell_length_a 5.373
_cell_length_b 5.373
_cell_length_c 3.610
_cell_angle_alpha 90.00
_cell_angle_beta 90.00
_cell_angle_gamma 90.00
loop_
_atom_site_label
_atom_site_fract_x
_atom_site_fract_y
_atom_site_fract_z
As1 0.000 0.000 0.000
S1 0.500 0.500 0.000
Cl1 0.000 0.500 0.500
F1 0.500 0.500 0.500
```

Computed properties:
- Crystal system: tetragonal


Relative energies, in eV/atom, with the most stable structure set to zero: <P> 0.000; <Q> 0.420.